Entry 1:
A relaxed BaTlCu3Se4 crystal, computed with GGA-PBE.

Summary:
raw formation energy: -0.237 eV per atom
symmetry: P-43m (215)

Lattice parameters (Å, degrees): 6.429 6.429 6.429 90.00 90.00 90.00
Fractional coordinates of all 9 atoms:
Ba (0.500, 0.500, 0.500)
Tl (0.000, 0.000, 0.000)
Cu (0.000, 0.500, 0.000)
Cu (0.000, 0.000, 0.500)
Cu (0.500, 0.000, 0.000)
Se (0.231, 0.231, 0.231)
Se (0.769, 0.769, 0.231)
Se (0.231, 0.769, 0.769)
Se (0.769, 0.231, 0.769)


Entry 2:
A relaxed Ba2TmCu2Se4 crystal, computed with GGA-PBE.

Summary:
raw formation energy: -1.276 eV per atom
DOS(E_F): 4.22 states/eV/cell
symmetry: C2/m (12)

Lattice parameters (Å, degrees): 4.132 7.619 7.937 109.69 105.09 90.00
Fractional coordinates of all 9 atoms:
Ba (0.135, 0.570, 0.271)
Ba (0.865, 0.430, 0.729)
Tm (0.000, 0.000, 0.000)
Cu (0.683, 0.988, 0.365)
Cu (0.317, 0.012, 0.635)
Se (0.198, 0.186, 0.396)
Se (0.802, 0.814, 0.604)
Se (0.519, 0.756, 0.038)
Se (0.481, 0.244, 0.962)


Entry 3:
A relaxed BaTmCu2Se4 crystal, computed with GGA-PBE.

Summary:
raw formation energy: -1.016 eV per atom
DOS(E_F): 3.25 states/eV/cell
symmetry: I222 (23)

Lattice parameters (Å, degrees): 6.977 6.557 6.557 64.12 57.86 57.86
Fractional coordinates of all 8 atoms:
Ba (0.000, 0.000, 0.000)
Tm (0.500, 0.500, 0.500)
Cu (0.251, 0.249, 0.249)
Cu (0.749, 0.751, 0.751)
Se (0.484, 0.086, 0.516)
Se (0.087, 0.914, 0.484)
Se (0.913, 0.516, 0.086)
Se (0.516, 0.484, 0.914)


Entry 4:
A relaxed BaU2CuSe5 crystal, computed with GGA-PBE.

Summary:
raw formation energy: -1.212 eV per atom
DOS(E_F): 20.07 states/eV/cell
symmetry: I4/mcm (140)

Lattice parameters (Å, degrees): 7.881 7.881 9.102 115.66 115.66 90.00
Site moments in Bohr magnetons follow the coordinates.
Fractional coordinates of all 18 atoms:
Ba (0.250, 0.250, 0.500)  0.00
Ba (0.750, 0.750, 0.500)  0.00
U (0.153, 0.347, 0.000)  2.47
U (0.653, 0.153, 0.000)  2.47
U (0.347, 0.847, 0.000)  2.47
U (0.847, 0.653, 0.000)  2.47
Cu (0.250, 0.750, 0.500)  -0.03
Cu (0.750, 0.250, 0.500)  -0.03
Se (0.978, 0.478, 0.262)  -0.06
Se (0.716, 0.216, 0.738)  -0.06
Se (0.022, 0.522, 0.738)  -0.06
Se (0.216, 0.022, 0.738)  -0.06
Se (0.522, 0.716, 0.738)  -0.06
Se (0.784, 0.978, 0.262)  -0.06
Se (0.478, 0.284, 0.262)  -0.06
Se (0.284, 0.784, 0.262)  -0.06
Se (0.500, 0.500, 0.000)  -0.08
Se (0.000, 0.000, 0.000)  -0.08


Entry 5:
A relaxed BaU3Cu4Se12 crystal, computed with GGA-PBE.

Summary:
raw formation energy: -0.699 eV per atom
symmetry: R32 (155)

Lattice parameters (Å, degrees): 8.939 8.939 8.939 106.66 106.66 106.66
Fractional coordinates of all 20 atoms:
Ba (0.000, 0.000, 0.000)
U (0.563, 0.437, 0.000)
U (0.437, 0.000, 0.563)
U (0.000, 0.563, 0.437)
Cu (0.928, 0.072, 0.500)
Cu (0.072, 0.500, 0.928)
Cu (0.500, 0.928, 0.072)
Cu (0.500, 0.500, 0.500)
Se (0.500, 0.339, 0.661)
Se (0.905, 0.500, 0.095)
Se (0.095, 0.905, 0.500)
Se (0.500, 0.095, 0.905)
Se (0.351, 0.969, 0.244)
Se (0.244, 0.351, 0.969)
Se (0.969, 0.244, 0.351)
Se (0.649, 0.756, 0.031)
Se (0.031, 0.649, 0.756)
Se (0.756, 0.031, 0.649)
Se (0.661, 0.500, 0.339)
Se (0.339, 0.661, 0.500)


Entry 6:
A relaxed BaUCuSe4 crystal, computed with GGA-PBE.

Summary:
raw formation energy: -1.142 eV per atom
DOS(E_F): 10.53 states/eV/cell
symmetry: P2_1/m (11)

Lattice parameters (Å, degrees): 7.087 5.967 9.032 90.00 107.42 90.00
Site moments in Bohr magnetons follow the coordinates.
Fractional coordinates of all 14 atoms:
Ba (0.746, 0.750, 0.938)  0.00
Ba (0.254, 0.250, 0.062)  0.00
U (0.733, 0.750, 0.442)  2.24
U (0.267, 0.250, 0.558)  2.24
Cu (0.252, 0.750, 0.322)  -0.02
Cu (0.748, 0.250, 0.678)  -0.02
Se (0.019, 0.511, 0.715)  0.00
Se (0.981, 0.011, 0.285)  0.00
Se (0.981, 0.489, 0.285)  0.00
Se (0.019, 0.989, 0.715)  0.00
Se (0.443, 0.750, 0.145)  -0.04
Se (0.557, 0.250, 0.855)  -0.04
Se (0.428, 0.750, 0.591)  -0.07
Se (0.572, 0.250, 0.409)  -0.07


no.,electronic total energy (eV/cell),magnetic moment (μB per formula unit)
1,-32.6,0.00
2,-41.9,0.00
3,-36.7,0.00
4,-113.9,5.00
5,-108.0,0.00
6,-78.5,2.22